Record 1
First-principles (PBE-GGA) data for a relaxed structure of Al2Ag2As, as listed in Alexandria via LeMat-Bulk.

**E_tot**: -3.44 eV per atom
**DOS(E_F)**: 4.9 states/eV/cell
**Crystal system**: tetragonal
**E_form**: 0.1289 eV per atom

a = 8.138 Å, b = 8.138 Å, c = 2.785 Å
α = 90.00°, β = 90.00°, γ = 90.00°
Atoms (fractional coordinates):
1 Ag 0.878 0.378 0.500
2 Ag 0.622 0.878 0.500
3 Al 0.678 0.178 0.000
4 Al 0.822 0.678 0.000
5 Ag 0.122 0.622 0.500
6 As 0.000 0.000 0.000
7 As 0.500 0.500 0.000
8 Ag 0.378 0.122 0.500
9 Al 0.322 0.822 0.000
10 Al 0.178 0.322 0.000

Record 2
First-principles (PBE-GGA) data for a relaxed structure of LiYb2Cl5, as listed in Alexandria via LeMat-Bulk.

**E_tot**: -3.92 eV per atom
**Crystal system**: monoclinic
**ΔE_f (raw)**: -1658 kJ/mol of formula units

a = 8.382 Å, b = 8.382 Å, c = 7.163 Å
α = 85.11°, β = 85.11°, γ = 46.14°
Site moments in Bohr magnetons follow the coordinates.
Atoms (fractional coordinates):
1 Li 0.000 0.500 0.000  0.00
2 Cl 0.711 0.473 0.075  0.00
3 Cl 0.473 0.711 0.575  0.00
4 Yb 0.876 0.331 0.432  0.25
5 Cl 0.935 0.065 0.750  0.00
6 Cl 0.852 0.710 0.318  0.00
7 Cl 0.710 0.852 0.818  0.00
8 Cl 0.148 0.290 0.682  0.00
9 Li 0.500 0.000 0.500  0.00
10 Cl 0.289 0.527 0.925  0.00
11 Yb 0.124 0.669 0.568  0.25
12 Yb 0.669 0.124 0.068  0.25
13 Cl 0.527 0.289 0.425  0.00
14 Cl 0.065 0.935 0.250  0.00
15 Yb 0.331 0.876 0.932  0.25
16 Cl 0.290 0.148 0.182  0.00

Record 3
First-principles (PBE-GGA) data for a relaxed structure of Sm5Y4Cd2, as listed in Alexandria via LeMat-Bulk.

**E_tot**: -4.67 eV per atom
**DOS(E_F)**: 16.5 states/eV/cell
**Crystal system**: monoclinic
**E_form**: -0.0041 eV per atom

a = 3.578 Å, b = 8.859 Å, c = 10.964 Å
α = 93.67°, β = 90.00°, γ = 90.00°
Atoms (fractional coordinates):
1 Y 0.500 0.229 0.443
2 Sm 0.000 0.800 0.840
3 Cd 0.000 0.069 0.640
4 Cd 0.000 0.931 0.360
5 Y 0.500 0.844 0.123
6 Sm 0.000 0.200 0.160
7 Sm 0.000 0.500 0.000
8 Y 0.500 0.156 0.877
9 Sm 0.000 0.548 0.327
10 Y 0.500 0.771 0.557
11 Sm 0.000 0.452 0.673

Record 4
First-principles (PBE-GGA) data for a relaxed structure of Ho2AlBiO6, as listed in Alexandria via LeMat-Bulk.

**E_tot**: -7.22 eV per atom
**DOS(E_F)**: 0.0 states/eV/cell
**Crystal system**: tetragonal
**ΔE_f (raw)**: -2472 kJ/mol of formula units

a = 5.319 Å, b = 5.264 Å, c = 5.264 Å
α = 90.00°, β = 90.00°, γ = 90.00°
Atoms (fractional coordinates):
1 O 0.743 0.232 0.232
2 Al 0.602 0.000 0.000
3 Ho 0.977 0.500 0.000
4 Bi 0.542 0.500 0.500
5 O 0.264 0.000 0.000
6 O 0.743 0.768 0.768
7 Ho 0.977 0.000 0.500
8 O 0.113 0.500 0.500
9 O 0.743 0.768 0.232
10 O 0.743 0.232 0.768

Record 5
First-principles (PBE-GGA) data for a relaxed structure of Cs2TlAu, as listed in Alexandria via LeMat-Bulk.

**E_tot**: -1.95 eV per atom
**DOS(E_F)**: 7.3 states/eV/cell
**Crystal system**: tetragonal
**E_form**: -0.1110 eV per atom

a = 13.375 Å, b = 13.375 Å, c = 9.864 Å
α = 47.31°, β = 47.31°, γ = 90.00°
Atoms (fractional coordinates):
1 Cs 0.457 0.125 0.250
2 Tl 0.000 0.000 0.000
3 Au 0.500 0.500 0.000
4 Au 0.250 0.750 0.500
5 Cs 0.293 0.625 0.250
6 Cs 0.875 0.707 0.750
7 Tl 0.750 0.250 0.500
8 Cs 0.375 0.543 0.750

Record 6
First-principles (PBE-GGA) data for a relaxed structure of SmH6Pd5, as listed in Alexandria via LeMat-Bulk.

**E_tot**: -4.53 eV per atom
**DOS(E_F)**: 1.9 states/eV/cell
**Crystal system**: monoclinic

a = 5.366 Å, b = 5.363 Å, c = 5.285 Å
α = 78.57°, β = 59.49°, γ = 67.02°
Atoms (fractional coordinates):
1 Pd 0.500 0.500 0.000
2 H 0.522 0.774 0.589
3 Pd 0.159 0.500 0.682
4 Sm 0.000 0.000 0.000
5 Pd 0.841 0.500 0.318
6 H 0.478 0.226 0.411
7 H 0.242 0.340 0.000
8 Pd 0.329 0.000 0.342
9 Pd 0.671 0.000 0.658
10 H 0.888 0.226 0.589
11 H 0.758 0.660 0.000
12 H 0.112 0.774 0.411

Record 7
First-principles (PBE-GGA) data for a relaxed structure of NdSm2Dy3Se6, as listed in Alexandria via LeMat-Bulk.

**E_tot**: -5.87 eV per atom
**DOS(E_F)**: 5.7 states/eV/cell
**Crystal system**: monoclinic
**ΔE_f (raw)**: -2074 kJ/mol of formula units

a = 7.133 Å, b = 7.133 Å, c = 7.223 Å
α = 99.45°, β = 99.45°, γ = 120.30°
Atoms (fractional coordinates):
1 Sm 0.666 0.334 0.000
2 Sm 0.334 0.666 0.000
3 Se 0.576 0.913 0.739
4 Se 0.250 0.250 0.740
5 Dy 0.165 0.835 0.500
6 Dy 0.835 0.165 0.500
7 Se 0.087 0.424 0.261
8 Nd 0.000 0.000 0.000
9 Se 0.424 0.087 0.261
10 Se 0.913 0.576 0.739
11 Se 0.750 0.750 0.260
12 Dy 0.500 0.500 0.500